1.
AlGeSb2: optimized geometry, PBE.

Cell and atoms, written as POSCAR:
```
AlGeSb2
1.0
-3.154 3.154 6.392
3.154 -3.154 6.392
3.154 3.154 -6.392
Al Ge Sb
2 2 4
Cartesian
0.000 0.000 0.000 Al
0.000 3.154 3.196 Al
3.154 0.000 3.196 Ge
0.000 0.000 6.392 Ge
4.731 1.507 -1.598 Sb
1.507 1.577 1.598 Sb
-1.577 1.648 4.794 Sb
1.648 1.577 7.990 Sb
```

Computed properties:
**N(E_F)**: 5.1 states/eV per cell
**Formation energy without anion corrections**: 82 meV/atom
**Energy above the lowest structure with this stoichiometry**: 0 meV per atom
**Energy**: -4.07 eV per atom

***

2.
Y2CrRu: optimized geometry, PBE.

Cell and atoms, written as POSCAR:
```
Y2CrRu
1.0
-2.071 2.071 4.985
2.071 -2.071 4.985
2.071 2.071 -4.985
Y Cr Ru
2 1 1
Cartesian
0.000 0.000 0.000 Y
0.000 2.071 2.493 Y
2.071 0.000 2.493 Cr
0.000 0.000 4.985 Ru
```

Computed properties:
**N(E_F)**: 3.2 states/eV per cell
**Formation energy**: 0.23 eV per atom
**Energy**: -7.73 eV per atom

***

3.
Rb3Tl2Hg2: optimized geometry, PBE.

Cell and atoms, written as POSCAR:
```
Rb3Tl2Hg2
1.0
6.777 -2.752 0.000
6.777 2.752 0.000
-3.100 0.000 8.457
Rb Tl Hg
3 2 2
Cartesian
0.000 0.000 0.000 Rb
0.490 0.000 5.225 Rb
9.964 0.000 3.232 Rb
3.950 0.000 0.487 Tl
6.503 0.000 7.970 Tl
4.433 0.000 5.614 Hg
6.020 0.000 2.843 Hg
```

Computed properties:
**N(E_F)**: 3.5 states/eV per cell
**Formation energy**: -0.14 eV per atom
**Energy**: -1.32 eV per atom

***

4.
LaMg2Tc2: optimized geometry, PBE.

Cell and atoms, written as POSCAR:
```
LaMg2Tc2
1.0
8.032 0.000 0.000
0.000 8.032 0.000
0.000 0.000 3.168
La Mg Tc
2 4 4
Cartesian
0.000 0.000 0.000 La
4.016 4.016 0.000 La
1.457 2.559 1.584 Mg
2.559 6.575 1.584 Mg
5.473 1.457 1.584 Mg
6.575 5.473 1.584 Mg
0.819 4.835 0.000 Tc
3.197 0.819 0.000 Tc
4.835 7.213 0.000 Tc
7.213 3.197 0.000 Tc
```

Computed properties:
**N(E_F)**: 8.2 states/eV per cell
**Formation energy**: 0.27 eV per atom
**Energy above the lowest structure with this stoichiometry**: 4 meV per atom
**Energy**: -5.50 eV per atom

***

5.
B2PdPb2S6: optimized geometry, PBE.

Cell and atoms, written as POSCAR:
```
B2PdPb2S6
1.0
3.159 1.824 6.537
-3.159 1.824 6.537
0.000 -3.647 6.537
B Pd Pb S
2 1 2 6
Cartesian
0.000 0.000 1.746 B
0.000 0.000 17.866 B
0.000 0.000 9.806 Pd
0.000 0.000 5.490 Pb
0.000 0.000 14.122 Pb
0.000 -1.838 8.129 S
-1.592 0.919 8.129 S
-1.592 -0.919 11.483 S
1.592 0.919 8.129 S
1.592 -0.919 11.483 S
0.000 1.838 11.483 S
```

Computed properties:
**N(E_F)**: 1.3 states/eV per cell
**Formation energy without anion corrections**: -261 meV/atom
**Energy**: -4.87 eV per atom

***

6.
Pr2Sm2Dy2Y: optimized geometry, PBE.

Cell and atoms, written as POSCAR:
```
Pr2Sm2Dy2Y
1.0
2.878 1.662 8.258
-2.878 1.662 8.258
0.000 -3.323 8.258
Pr Sm Dy Y
2 2 2 1
Cartesian
0.000 0.000 3.437 Pr
0.000 0.000 21.337 Pr
0.000 0.000 7.041 Sm
0.000 0.000 17.733 Sm
0.000 0.000 10.582 Dy
0.000 0.000 14.192 Dy
0.000 0.000 0.000 Y
```

Computed properties:
**N(E_F)**: 16.4 states/eV per cell
**Formation energy**: 0.13 eV per atom
**Energy**: -4.82 eV per atom

***

7.
Pr2Nd3Sm: optimized geometry, PBE.

Cell and atoms, written as POSCAR:
```
Pr2Nd3Sm
1.0
6.866 0.000 0.000
0.000 18.057 0.000
0.000 0.000 3.475
Pr Nd Sm
4 6 2
Cartesian
1.592 2.747 0.000 Pr
1.841 11.776 1.737 Pr
5.025 6.281 1.737 Pr
5.274 15.309 0.000 Pr
0.000 0.000 1.737 Nd
1.637 5.815 1.737 Nd
1.796 14.843 0.000 Nd
3.433 9.028 0.000 Nd
5.070 3.213 0.000 Nd
5.229 12.242 1.737 Nd
0.000 9.028 1.737 Sm
3.433 0.000 0.000 Sm
```

Computed properties:
**N(E_F)**: 22.1 states/eV per cell
**Formation energy**: 0.24 eV per atom
**Energy above the lowest structure with this stoichiometry**: 184 meV per atom
**Energy**: -4.53 eV per atom

***

8.
Sr4SiPt: optimized geometry, PBE.

Cell and atoms, written as POSCAR:
```
Sr4SiPt
1.0
0.000 4.581 4.581
4.581 0.000 4.581
4.581 4.581 0.000
Sr Si Pt
4 1 1
Cartesian
1.145 1.145 1.145 Sr
3.437 3.437 1.145 Sr
3.437 1.145 3.437 Sr
1.145 3.437 3.437 Sr
4.581 4.581 4.581 Si
6.872 6.872 6.872 Pt
```

Computed properties:
**N(E_F)**: 2.9 states/eV per cell
**Formation energy without anion corrections**: 658 meV/atom
**Energy**: -2.37 eV per atom

***

9.
Nb3CrRe: optimized geometry, PBE.

Cell and atoms, written as POSCAR:
```
Nb3CrRe
1.0
4.819 0.000 0.000
0.000 4.819 0.000
0.000 0.000 4.819
Nb Cr Re
3 1 1
Cartesian
0.000 0.000 2.409 Nb
0.000 2.409 0.000 Nb
2.409 0.000 0.000 Nb
2.409 2.409 2.409 Cr
0.000 0.000 0.000 Re
```

Computed properties:
**N(E_F)**: 13.3 states/eV per cell
**Formation energy**: 1.68 eV per atom
**Energy above the lowest structure with this stoichiometry**: 525 meV per atom
**Energy**: -8.78 eV per atom

***

10.
Pa3Al7Zn2: optimized geometry, PBE.

Cell and atoms, written as POSCAR:
```
Pa3Al7Zn2
1.0
2.762 1.594 8.536
-2.762 1.594 8.536
0.000 -3.189 8.536
Pa Al Zn
3 7 2
Cartesian
0.000 0.000 0.000 Pa
0.000 0.000 3.629 Pa
0.000 0.000 21.978 Pa
-1.410 -0.814 10.634 Al
0.000 -1.628 14.973 Al
-1.410 0.814 14.973 Al
0.000 0.000 12.804 Al
1.410 -0.814 10.634 Al
0.000 1.628 10.634 Al
1.410 0.814 14.973 Al
0.000 0.000 8.589 Zn
0.000 0.000 17.019 Zn
```

Computed properties:
**N(E_F)**: 13.7 states/eV per cell
**Formation energy**: -0.23 eV per atom
**Energy**: -5.00 eV per atom

***

11.
Co2SnAu2: optimized geometry, PBE.

Cell and atoms, written as POSCAR:
```
Co2SnAu2
1.0
6.505 0.000 0.000
0.000 6.505 0.000
0.000 0.000 3.865
Co Sn Au
4 2 4
Cartesian
0.814 2.439 0.000 Co
2.439 5.691 0.000 Co
4.066 0.814 0.000 Co
5.691 4.066 0.000 Co
0.000 0.000 0.000 Sn
3.252 3.252 0.000 Sn
1.080 4.332 1.933 Au
2.173 1.080 1.933 Au
4.332 5.425 1.933 Au
5.425 2.173 1.933 Au
```

Computed properties:
**N(E_F)**: 11.0 states/eV per cell
**Formation energy**: 0.16 eV per atom
**Energy**: -4.80 eV per atom

***

12.
CeMgH5: optimized geometry, PBE.

Cell and atoms, written as POSCAR:
```
CeMgH5
1.0
2.140 -6.131 0.000
2.140 6.131 0.000
0.000 0.000 4.881
Ce Mg H
2 2 10
Cartesian
2.140 4.333 3.661 Ce
2.140 -4.333 1.220 Ce
2.140 0.943 3.661 Mg
2.140 -0.943 1.220 Mg
2.140 4.309 1.220 H
0.959 0.000 0.000 H
0.959 0.000 2.440 H
2.140 2.291 0.116 H
2.140 2.291 2.324 H
2.140 -2.291 2.557 H
2.140 -2.291 4.765 H
3.321 0.000 0.000 H
3.321 0.000 2.440 H
2.140 -4.309 3.661 H
```

Computed properties:
**N(E_F)**: 11.5 states/eV per cell
**Energy**: -3.82 eV per atom

***

13.
La3Pm8Nd: optimized geometry, PBE.

Cell and atoms, written as POSCAR:
```
La3Pm8Nd
1.0
-3.304 5.836 5.858
3.304 -5.836 5.858
3.304 5.836 -5.858
La Pm Nd
3 8 1
Cartesian
0.000 0.000 0.000 La
3.304 0.000 2.957 La
0.000 5.836 2.901 La
3.304 3.853 -2.924 Pm
1.633 2.953 0.000 Pm
1.671 -2.883 5.858 Pm
0.000 1.983 2.934 Pm
3.304 3.853 2.924 Pm
1.633 8.720 0.000 Pm
1.671 2.883 5.858 Pm
0.000 1.983 8.782 Pm
0.000 0.000 5.858 Nd
```

Computed properties:
**N(E_F)**: 15.1 states/eV per cell
**Formation energy**: 0.26 eV per atom
**Energy**: -4.53 eV per atom

***

14.
Li4DyAu: optimized geometry, PBE.

Cell and atoms, written as POSCAR:
```
Li4DyAu
1.0
0.000 3.732 3.732
3.732 0.000 3.732
3.732 3.732 0.000
Li Dy Au
4 1 1
Cartesian
2.824 2.824 2.824 Li
4.641 4.641 2.824 Li
4.641 2.824 4.641 Li
2.824 4.641 4.641 Li
0.000 0.000 0.000 Dy
5.599 5.599 5.599 Au
```

Computed properties:
**N(E_F)**: 5.4 states/eV per cell
**Formation energy**: -0.15 eV per atom
**Energy**: -2.74 eV per atom

***

15.
K5MgCd6: optimized geometry, PBE.

Cell and atoms, written as POSCAR:
```
K5MgCd6
1.0
3.532 -8.193 0.000
3.532 8.193 0.000
-2.816 0.000 8.139
K Mg Cd
5 1 6
Cartesian
0.000 0.000 0.000 K
3.532 3.361 0.000 K
2.124 2.224 4.069 K
2.124 -2.224 4.069 K
3.532 -3.361 0.000 K
-1.408 0.000 4.069 Mg
2.154 5.646 2.562 Cd
2.094 5.646 5.577 Cd
0.343 0.000 6.643 Cd
3.905 0.000 1.496 Cd
2.154 -5.646 2.562 Cd
2.094 -5.646 5.577 Cd
```

Computed properties:
**N(E_F)**: 7.6 states/eV per cell
**Formation energy**: -0.01 eV per atom
**Energy**: -1.05 eV per atom

***

16.
ZrAlTc2Ru: optimized geometry, PBE.

Cell and atoms, written as POSCAR:
```
ZrAlTc2Ru
1.0
4.781 0.000 0.000
0.000 4.781 0.000
0.000 0.000 4.767
Zr Al Tc Ru
1 1 2 1
Cartesian
0.000 0.000 0.000 Zr
2.391 2.391 2.384 Al
0.000 2.391 0.000 Tc
2.391 0.000 0.000 Tc
0.000 0.000 2.384 Ru
```

Computed properties:
**N(E_F)**: 6.0 states/eV per cell
**Formation energy**: 1.73 eV per atom
**Energy**: -6.73 eV per atom

***

17.
SbAs2Pt: optimized geometry, PBE.

Cell and atoms, written as POSCAR:
```
SbAs2Pt
1.0
3.576 0.000 0.000
0.000 3.576 0.000
0.000 0.000 6.729
Sb As Pt
1 2 1
Cartesian
0.000 0.000 0.000 Sb
0.000 0.000 3.792 As
1.788 1.788 2.832 As
1.788 1.788 5.488 Pt
```

Computed properties:
**N(E_F)**: 1.3 states/eV per cell
**Formation energy without anion corrections**: 59 meV/atom
**Energy**: -4.81 eV per atom

***

18.
La8Y3Tm: optimized geometry, PBE.

Cell and atoms, written as POSCAR:
```
La8Y3Tm
1.0
-4.445 4.445 5.869
4.445 -4.445 5.869
4.445 4.445 -5.869
La Y Tm
8 3 1
Cartesian
3.352 3.352 -2.954 La
2.208 2.208 -0.044 La
2.237 -2.237 5.914 La
1.093 1.093 2.915 La
1.093 -1.093 8.824 La
2.237 2.237 5.825 La
-2.237 2.237 5.914 La
-1.093 1.093 8.824 La
4.445 0.000 2.935 Y
0.000 0.000 5.869 Y
0.000 4.445 2.935 Y
0.000 0.000 0.000 Tm
```

Computed properties:
**N(E_F)**: 21.7 states/eV per cell
**Formation energy**: 0.53 eV per atom
**Energy**: -4.74 eV per atom

***

19.
AgSbOs2N: optimized geometry, PBE.

Cell and atoms, written as POSCAR:
```
AgSbOs2N
1.0
4.005 0.000 0.000
0.000 4.005 0.000
0.000 0.000 5.108
Ag Sb Os N
1 1 2 1
Cartesian
0.000 0.000 0.000 Ag
2.002 2.002 0.000 Sb
0.000 2.002 2.554 Os
2.002 0.000 2.554 Os
0.000 0.000 2.554 N
```

Computed properties:
**N(E_F)**: 3.1 states/eV per cell
**Formation energy without anion corrections**: 868 meV/atom
**Energy**: -6.68 eV per atom

***

20.
Ba2MnAl: optimized geometry, PBE.

Cell and atoms, written as POSCAR:
```
Ba2MnAl
1.0
-5.889 5.889 2.463
5.889 -5.889 2.463
5.889 5.889 -2.463
Ba Mn Al
4 2 2
Cartesian
0.815 2.944 0.616 Ba
-2.944 5.073 1.847 Ba
-0.815 8.833 0.616 Ba
2.944 6.704 1.847 Ba
0.000 0.000 0.000 Mn
0.000 5.889 1.232 Mn
5.889 0.000 1.232 Al
0.000 0.000 2.463 Al
```

Computed properties:
**N(E_F)**: 6.9 states/eV per cell
**Formation energy**: 0.39 eV per atom
**Energy**: -3.80 eV per atom

***

21.
Sc2CoC: optimized geometry, PBE.

Cell and atoms, written as POSCAR:
```
Sc2CoC
1.0
1.617 0.933 7.269
-1.617 0.933 7.269
0.000 -1.867 7.269
Sc Co C
2 1 1
Cartesian
0.000 0.000 2.385 Sc
0.000 0.000 19.422 Sc
0.000 0.000 0.000 Co
0.000 0.000 10.904 C
```

Computed properties:
**N(E_F)**: 2.2 states/eV per cell
**Formation energy**: 0.07 eV per atom
**Energy**: -7.18 eV per atom

***

22.
NdAl4Pd4: optimized geometry, PBE.

Cell and atoms, written as POSCAR:
```
NdAl4Pd4
1.0
6.114 0.000 0.000
0.000 6.114 0.000
0.000 0.000 8.608
Nd Al Pd
2 8 8
Cartesian
1.528 4.585 2.152 Nd
4.585 1.528 6.456 Nd
0.231 1.528 0.575 Al
1.528 0.231 4.879 Al
1.528 2.826 4.879 Al
2.826 1.528 0.575 Al
3.288 4.585 8.034 Al
4.585 3.288 3.730 Al
4.585 5.883 3.730 Al
5.883 4.585 8.034 Al
0.126 1.528 3.128 Pd
1.528 0.126 7.432 Pd
1.528 2.931 7.432 Pd
2.931 1.528 3.128 Pd
3.183 4.585 5.481 Pd
4.585 3.183 1.176 Pd
4.585 5.988 1.176 Pd
5.988 4.585 5.481 Pd
```

Computed properties:
**N(E_F)**: 6.5 states/eV per cell
**Formation energy**: -0.76 eV per atom
**Energy**: -5.27 eV per atom

***

23.
TaH4Cl: optimized geometry, PBE.

Cell and atoms, written as POSCAR:
```
TaH4Cl
1.0
2.998 0.000 0.000
0.000 2.998 0.000
0.000 0.000 7.974
Ta H Cl
1 4 1
Cartesian
0.000 0.000 0.000 Ta
0.000 1.499 1.176 H
0.000 1.499 6.798 H
1.499 0.000 1.176 H
1.499 0.000 6.798 H
1.499 1.499 3.987 Cl
```

Computed properties:
**N(E_F)**: 3.3 states/eV per cell
**Energy**: -4.30 eV per atom

***

24.
Ce2SmN4: optimized geometry, PBE.

Cell and atoms, written as POSCAR:
```
Ce2SmN4
1.0
1.766 -5.910 0.000
1.766 5.910 0.000
0.000 0.000 10.482
Ce Sm N
4 2 8
Cartesian
1.766 4.345 5.966 Ce
1.766 4.345 9.756 Ce
1.766 -4.345 0.725 Ce
1.766 -4.345 4.516 Ce
1.766 1.189 7.861 Sm
1.766 -1.189 2.620 Sm
1.766 5.470 7.861 N
1.766 3.272 1.241 N
1.766 3.272 4.000 N
1.766 0.000 0.000 N
1.766 0.000 5.241 N
1.766 -3.272 6.482 N
1.766 -3.272 9.241 N
1.766 -5.470 2.620 N
```

Computed properties:
**N(E_F)**: 3.9 states/eV per cell
**Formation energy without anion corrections**: -1159 meV/atom
**Energy**: -8.29 eV per atom